The following is a DFT calculation (GGA-PBE) of crystalline Ho2Te2S at its relaxed geometry.

Summary:
* excess energy over the best structure of this formula in the dataset: 0.0 kJ/mol of atoms
* energy relative to the elements, uncorrected: -1565 meV per atom
* E: -27.4 eV per formula unit
* SG: Ibam

Cell lengths 6.388, 7.704, 7.704 Å; angles 62.25, 65.50, 65.50 degrees
Fractional positions:
Ho  0.599  0.669  0.133
Ho  0.901  0.867  0.331
Ho  0.099  0.133  0.669
Ho  0.401  0.331  0.867
S  0.750  0.000  0.000
S  0.250  0.000  0.000
Te  0.148  0.478  0.227
Te  0.352  0.773  0.522
Te  0.648  0.227  0.478
Te  0.852  0.522  0.773